Record 1
First-principles (PBE) data for a relaxed structure of HoNi4Sn, as listed in OQMD via LeMat-Bulk.

The structure belongs to space group F-43m (No. 216); the cell edges are 7.029, 7.029 and 7.029 Å and the angles 90.00°, 90.00° and 90.00°. The distinct sites, in fractional coordinates, are Ho at (0.000, 0.000, 0.000), Ni at (0.124, 0.124, 0.624) and Sn at (0.250, 0.250, 0.250).

Its theoretical density is 9.917 Mg/m³. For the uncorrected energy, the calculation gives -133.0 eV for the cell shown.

Record 2
First-principles (PBE) data for a relaxed structure of SmBiPb, as listed in OQMD via LeMat-Bulk.

The structure belongs to space group F-43m (No. 216); the cell edges are 7.508, 7.508 and 7.508 Å and the angles 90.00°, 90.00° and 90.00°. The distinct sites, in fractional coordinates, are Sm at (0.000, 0.000, 0.000), Bi at (0.250, 0.250, 0.750) and Pb at (0.250, 0.250, 0.250).

Its theoretical density is 8.892 Mg/m³. For the uncorrected energy, the calculation gives -52.0 eV for the cell shown.

Record 3
First-principles (PBE) data for a relaxed structure of ZrCuBiW, as listed in OQMD via LeMat-Bulk.

The structure belongs to space group F-43m (No. 216); the cell edges are 6.733, 6.733 and 6.733 Å and the angles 90.00°, 90.00° and 90.00°. The distinct sites, in fractional coordinates, are Zr at (0.000, 0.000, 0.000), Cu at (0.250, 0.250, 0.250), Bi at (0.000, 0.000, 0.500) and W at (0.250, 0.250, 0.750).

Its theoretical density is 11.917 Mg/m³. For the uncorrected energy, the calculation gives -108.0 eV for the cell shown.

Q: The highest uncorrected energy belongs to which entry?
A: SmBiPb

Q: Among the records above, which one has the highest uncorrected energy?
A: SmBiPb

Repeat the second record exactly.
First-principles (PBE) data for a relaxed structure of SmBiPb, as listed in OQMD via LeMat-Bulk.

The structure belongs to space group F-43m (No. 216); the cell edges are 7.508, 7.508 and 7.508 Å and the angles 90.00°, 90.00° and 90.00°. The distinct sites, in fractional coordinates, are Sm at (0.000, 0.000, 0.000), Bi at (0.250, 0.250, 0.750) and Pb at (0.250, 0.250, 0.250).

Its theoretical density is 8.892 Mg/m³. For the uncorrected energy, the calculation gives -52.0 eV for the cell shown.